Material: Na5AsO5
Method: DFT, GGA-PBE
State: relaxed

a = 6.034 Å, b = 16.611 Å, c = 6.502 Å
α = 90.00°, β = 90.00°, γ = 90.00°
Space group Pbcm (No. 57)
Unique sites:
Na1 0.060 0.089 0.250
Na2 0.073 0.750 0.000
Na3 0.365 0.586 0.006
Na4 0.415 0.230 0.250
As1 0.195 0.096 0.750
O1 0.072 0.558 0.750
O2 0.242 0.676 0.250
O3 0.246 0.155 0.535
O4 0.390 0.020 0.750

Output
**Calculated volume**: 14.8 A^3/atom
**Energy relative to the elements, uncorrected**: -1.57 eV/atom